1.
Compound: Mg2Ag2Au3
Source: Alexandria via LeMat-Bulk
Functional: PBE-GGA
Structure: relaxed

Geometry as CIF:
```
data_Mg2Ag2Au3
_chemical_formula_sum 'Mg4 Ag4 Au6'
_space_group_name_H-M_alt 'C 1 2/m 1'
_space_group_IT_number 12
_space_group_name_Hall '-C 2y'
_cell_length_a 9.182
_cell_length_b 4.177
_cell_length_c 6.655
_cell_angle_alpha 90.00
_cell_angle_beta 99.25
_cell_angle_gamma 90.00
loop_
_atom_site_label
_atom_site_type_symbol
_atom_site_fract_x
_atom_site_fract_y
_atom_site_fract_z
Mg1 Mg 0.208 0.000 0.164
Ag1 Ag 0.078 0.000 0.723
Au1 Au 0.000 0.500 0.000
Au2 Au 0.141 0.500 0.427
```

Properties
Crystal system: monoclinic
Distance to the lowest polymorph of the same formula (meV/atom): 4.1
N(E_F) (states/eV per cell): 3.53
Calculated volume (Å³/cell): 251.9
ΔH_f (0 K) (eV per atom): -0.33

***

2.
Compound: CsBiPb
Source: Alexandria via LeMat-Bulk
Functional: PBE-GGA
Structure: relaxed

Geometry as CIF:
```
data_CsBiPb
_chemical_formula_sum 'Cs1 Bi1 Pb1'
_space_group_name_H-M_alt 'P -6 m 2'
_space_group_IT_number 187
_space_group_name_Hall 'P -6 2'
_cell_length_a 5.4634
_cell_length_b 5.4634
_cell_length_c 5.8121
_cell_angle_alpha 90.00
_cell_angle_beta 90.00
_cell_angle_gamma 120.00
loop_
_atom_site_label
_atom_site_type_symbol
_atom_site_fract_x
_atom_site_fract_y
_atom_site_fract_z
Cs1 Cs 0.0000 0.0000 0.0000
Bi1 Bi 0.6667 0.3333 0.5000
Pb1 Pb 0.3333 0.6667 0.5000
```

Properties
Crystal system: hexagonal
N(E_F) (states/eV per cell): 2.80
Calculated volume (Å³/cell): 150.2
ΔH_f (0 K) (eV per atom): -0.20

***

3.
Compound: ErCd2Hg3
Source: Alexandria via LeMat-Bulk
Functional: PBE-GGA
Structure: relaxed

Geometry as CIF:
```
data_ErCd2Hg3
_chemical_formula_sum 'Er2 Cd4 Hg6'
_space_group_name_H-M_alt 'P -3 m 1'
_space_group_IT_number 164
_space_group_name_Hall '-P 3 2"'
_cell_length_a 5.1059
_cell_length_b 5.1059
_cell_length_c 12.4451
_cell_angle_alpha 90.00
_cell_angle_beta 90.00
_cell_angle_gamma 120.00
loop_
_atom_site_label
_atom_site_type_symbol
_atom_site_fract_x
_atom_site_fract_y
_atom_site_fract_z
Er1 Er 0.3333 0.6667 0.1616
Cd1 Cd 0.0000 0.0000 0.0000
Cd2 Cd 0.0000 0.0000 0.5000
Cd3 Cd 0.3333 0.6667 0.6680
Hg1 Hg 0.0000 0.0000 0.2514
Hg2 Hg 0.3333 0.6667 0.4140
Hg3 Hg 0.3333 0.6667 0.9142
```

Properties
Crystal system: trigonal
Distance to the lowest polymorph of the same formula (meV/atom): 0.0
N(E_F) (states/eV per cell): 5.68
Calculated volume (Å³/cell): 281.0
ΔH_f (0 K) (eV per atom): -0.21

***

4.
Compound: CrSbCBr2
Source: Alexandria via LeMat-Bulk
Functional: PBE-GGA
Structure: relaxed

Geometry as CIF:
```
data_CrSbCBr2
_chemical_formula_sum 'Cr1 Sb1 C1 Br2'
_space_group_name_H-M_alt 'P 4/m m m'
_space_group_IT_number 123
_space_group_name_Hall '-P 4 2'
_cell_length_a 5.247
_cell_length_b 5.247
_cell_length_c 3.691
_cell_angle_alpha 90.00
_cell_angle_beta 90.00
_cell_angle_gamma 90.00
loop_
_atom_site_label
_atom_site_type_symbol
_atom_site_fract_x
_atom_site_fract_y
_atom_site_fract_z
Cr1 Cr 0.000 0.000 0.000
Sb1 Sb 0.500 0.500 0.500
C1 C 0.000 0.000 0.500
Br1 Br 0.000 0.500 0.000
```

Properties
Crystal system: tetragonal
N(E_F) (states/eV per cell): 5.42
Calculated volume (Å³/cell): 101.6
Formation energy from raw total energies (eV/atom): 0.860